The following is a DFT calculation (PBE) of an optimized crystal structure of V3NiAs.

```
5
Lattice="4.3301 0.0000 0.0000 0.0000 4.3301 0.0000 0.0000 0.0000 4.3301" Properties=species:S:1:pos:R:3 pbc="T T T"
V 0.0000 0.0000 2.1651
V 0.0000 2.1651 0.0000
V 2.1651 0.0000 0.0000
Ni 0.0000 0.0000 0.0000
As 2.1651 2.1651 2.1651
```

Results
As for the density of states at the Fermi level: 7.22 states/eV per cell. Its formation energy from the elements is 0.74 eV per atom. The value obtained for the theoretical density is 5.858 g/cm³. The space group is Pm-3m. The calculation puts the total energy at -0.5013 Ry per atom.

***

The following is a DFT calculation (PBE) of an optimized crystal structure of VNiAs2.

```
16
Lattice="5.5897 0.0000 0.0000 0.0000 5.5897 0.0000 0.0000 0.0000 10.2644" Properties=species:S:1:pos:R:3 pbc="T T T"
V 0.0000 0.0000 0.0000
V 0.0000 2.7949 2.5661
V 2.7949 0.0000 7.6983
V 2.7949 2.7949 5.1322
Ni 0.0000 0.0000 5.1322
Ni 0.0000 2.7949 7.6983
Ni 2.7949 0.0000 2.5661
Ni 2.7949 2.7949 0.0000
As 1.3196 1.3974 6.4152
As 1.3974 4.1144 8.9813
As 1.3974 4.2701 3.8491
As 1.4753 1.3974 1.2830
As 4.1144 4.1923 1.2830
As 4.1923 1.3196 3.8491
As 4.1923 1.4753 8.9813
As 4.2701 4.1923 6.4152
```

Results
As for the density of states at the Fermi level: 16.53 states/eV per cell. Its formation energy from the elements is 0.14 eV per atom. The value obtained for the theoretical density is 5.374 g/cm³. The space group is I-42d. The calculation puts the total energy at -0.4346 Ry per atom.

***

The following is a DFT calculation (PBE) of an optimized crystal structure of VNi5As.

```
7
Lattice="4.1706 0.0000 0.0000 0.0000 4.1706 0.0000 0.0000 0.0000 5.0837" Properties=species:S:1:pos:R:3 pbc="T T T"
V 0.0000 0.0000 0.0000
Ni 0.0000 0.0000 2.5419
Ni 0.0000 2.0853 1.2608
Ni 0.0000 2.0853 3.8229
Ni 2.0853 0.0000 1.2608
Ni 2.0853 0.0000 3.8229
As 2.0853 2.0853 2.5419
```

Results
As for the density of states at the Fermi level: 4.62 states/eV per cell. Its formation energy from the elements is 0.03 eV per atom. The value obtained for the theoretical density is 7.875 g/cm³. The space group is P4/mmm. The calculation puts the total energy at -0.4456 Ry per atom.

***

The following is a DFT calculation (PBE) of an optimized crystal structure of V2Ni9As.

```
12
Lattice="3.5633 0.0000 0.0000 0.0000 3.5633 0.0000 0.0000 0.0000 10.7761" Properties=species:S:1:pos:R:3 pbc="T T T"
V 0.0000 0.0000 1.8090
V 0.0000 0.0000 8.9672
Ni 0.0000 1.7817 0.0000
Ni 0.0000 1.7817 3.5085
Ni 0.0000 1.7817 7.2677
Ni 1.7817 0.0000 0.0000
Ni 1.7817 0.0000 3.5085
Ni 1.7817 0.0000 7.2677
Ni 1.7817 1.7817 1.7590
Ni 1.7817 1.7817 5.3881
Ni 1.7817 1.7817 9.0171
As 0.0000 0.0000 5.3881
```

Results
As for the density of states at the Fermi level: 11.61 states/eV per cell. Its formation energy from the elements is -0.19 eV per atom. The value obtained for the theoretical density is 8.556 g/cm³. The space group is P4/mmm. The calculation puts the total energy at -0.4725 Ry per atom.

***

The following is a DFT calculation (PBE) of an optimized crystal structure of VNi2As2.

```
10
Lattice="6.8505 0.0000 0.0000 0.0000 6.8505 0.0000 0.0000 0.0000 2.8865" Properties=species:S:1:pos:R:3 pbc="T T T"
V 0.0000 0.0000 0.0000
V 3.4252 3.4252 0.0000
Ni 0.9352 2.4901 1.4432
Ni 2.4901 5.9153 1.4432
Ni 4.3604 0.9352 1.4432
Ni 5.9153 4.3604 1.4432
As 1.1095 4.5348 0.0000
As 2.3157 1.1095 0.0000
As 4.5348 5.7409 0.0000
As 5.7409 2.3157 0.0000
```

Results
As for the density of states at the Fermi level: 5.75 states/eV per cell. Its formation energy from the elements is -0.12 eV per atom. The value obtained for the theoretical density is 7.801 g/cm³. The space group is P4/mbm. The calculation puts the total energy at -0.4498 Ry per atom.

***

The following is a DFT calculation (PBE) of an optimized crystal structure of VNi2As.

```
4
Lattice="3.5869 0.0000 0.0000 0.0000 3.5869 0.0000 0.0000 0.0000 3.8243" Properties=species:S:1:pos:R:3 pbc="T T T"
V 0.0000 0.0000 0.0000
Ni 0.0000 1.7935 1.9121
Ni 1.7935 0.0000 1.9121
As 1.7935 1.7935 0.0000
```

Results
As for the density of states at the Fermi level: 3.52 states/eV per cell. Its formation energy from the elements is -0.22 eV per atom. The value obtained for the theoretical density is 8.209 g/cm³. The space group is P4/mmm. The calculation puts the total energy at -0.4814 Ry per atom.